The following is a DFT calculation (PBE) of a relaxed structure of TlV2SiBi.

Computed properties:
- Total energy: -22.059 eV per cell
- Volume: 158.9 Å³/cell
- Fermi-level density of states: 5.12 states/eV per cell
- Formation energy from raw total energies: 1570 meV per atom

Lattice parameters (Å, degrees): 5.2114 5.2114 5.8522 90.00 90.00 90.00
With the nearest neighbours (Å) after each atom.
Space group P4/mmm (No. 123)
One atom of each set of equivalent atoms:
Tl1 0.0000 0.0000 0.0000  2 Bi 2.93
V1 0.0000 0.5000 0.5000  2 Bi 2.61
Si1 0.5000 0.5000 0.0000  4 Tl 3.68, 8 V 3.92
Bi1 0.0000 0.0000 0.5000  4 V 2.61